DFT (PBE) results for a relaxed structure of CaPCl.

Summary:
M_tot   0.0000 μB/atom
Formation energy without anion corrections   -1447 meV per atom
Excess energy over the best structure of this formula in the dataset   0.0 meV/atom
Volume   26.061 Å³/atom
N(E_F)   0.19 states/eV per atom

Lattice parameters (Å, degrees): 4.1657 4.1657 10.6234 99.81 99.81 59.89
With the nearest neighbours (Å) after each atom.
Atoms (fractional coordinates):
Ca 0.0811 0.0811 0.2004  3 Cl 2.78, 3 P 3.03-3.05
Ca 0.9189 0.9189 0.7996  3 Cl 2.78, 3 P 3.03-3.05
P 0.3603 0.3603 0.0217  1 P 2.16
P 0.6397 0.6397 0.9783  1 P 2.16
Cl 0.2135 0.2135 0.6658  3 Ca 2.78
Cl 0.7865 0.7865 0.3342  3 Ca 2.78


DFT (PBE) results for a relaxed structure of Zr3Ga2Pd8.

Summary:
M_tot   0.0001 μB/atom
E_form   -45 kJ per mole of atoms
Volume   17.904 Å³/atom
N(E_F)   0.58 states/eV per atom

Lattice parameters (Å, degrees): 9.9963 9.9963 9.9963 30.84 30.84 30.84
With the nearest neighbours (Å) after each atom.
Atoms (fractional coordinates):
Zr 0.0000 0.0000 0.0000  6 Ga 3.23, 12 Pd 3.36-3.37
Zr 0.1908 0.1908 0.1908  10 Pd 2.67-2.88
Zr 0.8092 0.8092 0.8092  10 Pd 2.67-2.88
Ga 0.3686 0.3686 0.3686  4 Pd 2.40-2.53
Ga 0.6314 0.6314 0.6314  4 Pd 2.40-2.53
Pd 0.2247 0.7299 0.7299  1 Ga 2.53, 4 Pd 2.63-2.69
Pd 0.2701 0.2701 0.7753  1 Ga 2.53, 4 Pd 2.63-2.69
Pd 0.2701 0.7753 0.2701  1 Ga 2.53, 4 Pd 2.63-2.69
Pd 0.2845 0.2845 0.2845  1 Ga 2.40, 1 Zr 2.67
Pd 0.7155 0.7155 0.7155  1 Ga 2.40, 1 Zr 2.67
Pd 0.7299 0.2247 0.7299  1 Ga 2.53, 4 Pd 2.63-2.69
Pd 0.7299 0.7299 0.2247  1 Ga 2.53, 4 Pd 2.63-2.69
Pd 0.7753 0.2701 0.2701  1 Ga 2.53, 4 Pd 2.63-2.69


DFT (PBE) results for a relaxed structure of TeO.

Summary:
M_tot   0.0000 μB/atom
Formation energy without anion corrections   -528 meV per atom
Excess energy over the best structure of this formula in the dataset   13.9 meV/atom
Volume   18.800 Å³/atom
N(E_F)   0.02 states/eV per atom

Lattice parameters (Å, degrees): 6.1858 6.6226 7.3428 90.00 90.00 90.00
With the nearest neighbours (Å) after each atom.
Atoms (fractional coordinates):
Te 0.2005 0.0093 0.0609  2 O 2.02-2.24
Te 0.2312 0.5222 0.2253  2 O 2.07-2.08
Te 0.2688 0.4778 0.7253  2 O 2.07-2.08
Te 0.2995 0.9907 0.5609  2 O 2.02-2.24
Te 0.7005 0.4907 0.9391  2 O 2.02-2.24
Te 0.7312 0.9778 0.7747  2 O 2.07-2.08
Te 0.7688 0.0222 0.2747  2 O 2.07-2.08
Te 0.7995 0.5093 0.4391  2 O 2.02-2.24
O 0.0576 0.4836 0.9868  2 Te 2.07-2.24
O 0.2311 0.7884 0.7588  2 Te 2.02-2.08
O 0.2689 0.2116 0.2589  2 Te 2.02-2.08
O 0.4424 0.5164 0.4868  2 Te 2.07-2.24
O 0.5576 0.0164 0.0132  2 Te 2.07-2.24
O 0.7311 0.7116 0.2412  2 Te 2.02-2.08
O 0.7689 0.2884 0.7412  2 Te 2.02-2.08
O 0.9424 0.9836 0.5132  2 Te 2.07-2.24


DFT (PBE) results for a relaxed structure of TiNi5Ge.

Summary:
M_tot   0.0000 μB/atom
Excess energy over the best structure of this formula in the dataset   0.0 meV/atom
E_form   -34 kJ per mole of atoms
Volume   12.541 Å³/atom
N(E_F)   0.17 states/eV per atom

Lattice parameters (Å, degrees): 3.6727 3.6727 6.5082 90.00 90.00 90.00
With the nearest neighbours (Å) after each atom.
Atoms (fractional coordinates):
Ti 0.0000 0.0000 0.0000  12 Ni 2.54-2.60
Ni 0.0000 0.5000 0.2700  2 Ge 2.37, 6 Ni 2.54-2.60, 2 Ti 2.54
Ni 0.0000 0.5000 0.7300  2 Ge 2.37, 6 Ni 2.54-2.60, 2 Ti 2.54
Ni 0.5000 0.0000 0.2700  2 Ge 2.37, 6 Ni 2.54-2.60, 2 Ti 2.54
Ni 0.5000 0.0000 0.7300  2 Ge 2.37, 6 Ni 2.54-2.60, 2 Ti 2.54
Ni 0.5000 0.5000 0.0000  8 Ni 2.54, 4 Ti 2.60
Ge 0.5000 0.5000 0.5000  8 Ni 2.37


DFT (PBE) results for a relaxed structure of SmMgAgPb.

Summary:
M_tot   0.0000 μB/atom
E_form   -30 kJ per mole of atoms
Volume   24.812 Å³/atom
N(E_F)   0.41 states/eV per atom

Lattice parameters (Å, degrees): 5.1969 5.1969 5.1969 60.00 60.00 60.00
With the nearest neighbours (Å) after each atom.
Atoms (fractional coordinates):
Sm 0.0000 0.0000 0.0000  4 Pb 3.18, 4 Ag 3.18
Mg 0.5000 0.5000 0.5000  4 Pb 3.18, 4 Ag 3.18
Ag 0.2500 0.2500 0.2500  4 Mg 3.18, 4 Sm 3.18
Pb 0.7500 0.7500 0.7500  4 Mg 3.18, 4 Sm 3.18


DFT (PBE) results for a relaxed structure of NdDyTmHg.

Summary:
M_tot   0.0024 μB/atom
Excess energy over the best structure of this formula in the dataset   165.5 meV/atom
E_form   -6 kJ per mole of atoms
Volume   28.564 Å³/atom
N(E_F)   1.35 states/eV per atom

Lattice parameters (Å, degrees): 5.4467 5.4467 5.4467 60.00 60.00 60.00
With the nearest neighbours (Å) after each atom.
Atoms (fractional coordinates):
Nd 0.0000 0.0000 0.0000  4 Hg 3.34, 4 Tm 3.34
Dy 0.5000 0.5000 0.5000  4 Hg 3.34, 4 Tm 3.34
Tm 0.2500 0.2500 0.2500  4 Dy 3.34, 4 Nd 3.34
Hg 0.7500 0.7500 0.7500  4 Dy 3.34, 4 Nd 3.34


DFT (PBE) results for a relaxed structure of CoTc2Rh.

Summary:
M_tot   0.4899 μB/atom
Excess energy over the best structure of this formula in the dataset   150.4 meV/atom
E_form   7 kJ per mole of atoms
Volume   13.740 Å³/atom
N(E_F)   1.17 states/eV per atom

Lattice parameters (Å, degrees): 8.7864 8.7864 8.7864 17.74 17.74 17.74
With the nearest neighbours (Å) after each atom.
Atoms (fractional coordinates):
Co 0.0000 0.0000 0.0000  3 Rh 2.62, 3 Tc 2.63, 6 Co 2.71
Tc 0.2516 0.2516 0.2516  3 Co 2.63, 9 Tc 2.69-2.71
Tc 0.5004 0.5004 0.5004  9 Tc 2.69-2.71, 3 Rh 2.72
Rh 0.7477 0.7477 0.7477  3 Co 2.62, 6 Rh 2.71, 3 Tc 2.72


DFT (PBE) results for a relaxed structure of CaBi2Br.

Summary:
M_tot   0.0000 μB/atom
Formation energy without anion corrections   -658 meV per atom
Excess energy over the best structure of this formula in the dataset   0.0 meV/atom
Volume   33.933 Å³/atom
N(E_F)   0.49 states/eV per atom

Lattice parameters (Å, degrees): 13.6132 13.6132 13.6132 160.85 160.85 27.22
With the nearest neighbours (Å) after each atom.
Atoms (fractional coordinates):
Ca 0.0000 0.0000 0.0000  4 Br 3.20
Ca 0.7500 0.2500 0.5000  4 Br 3.20
Bi 0.0935 0.6250 0.9685  2 Bi 3.01
Bi 0.3750 0.3435 0.4685  2 Bi 3.01
Bi 0.6565 0.1250 0.0315  2 Bi 3.01
Bi 0.8750 0.9065 0.5315  2 Bi 3.01
Br 0.2500 0.7500 0.5000  4 Ca 3.20
Br 0.5000 0.5000 0.0000  4 Ca 3.20